Tb4TlS2, relaxed, DFT PBE; spin magnetization = 0.00 μB per formula unit; calculated volume = 25.53 Å³ per atom; ΔE_f (raw) = -125 kJ/mol of atoms
1.0
3.9733 0.0000 0.0000
-1.9867 6.5948 0.0000
0.0000 0.0000 13.6420
Tb Tl S
8 2 4
Direct
0.7655 0.5310 0.1146
0.5000 0.0000 0.0000
0.0729 0.1458 0.2500
0.5000 0.0000 0.5000
0.9271 0.8542 0.7500
0.2345 0.4690 0.6146
0.7655 0.5310 0.3854
0.2345 0.4690 0.8854
0.6089 0.2179 0.7500
0.3911 0.7821 0.2500
0.1336 0.2672 0.0587
0.8664 0.7328 0.5587
0.8664 0.7328 0.9413
0.1336 0.2672 0.4413